! GGA+U MoSBr2O, optimized geometry; values from VASP
! * V: 120.4 Å³/cell
! * total magnetization: 0.00 Bohr magnetons per cell
! * uncorrected energy: -3.05 eV per atom
! * symmetry: P4/mmm (123)
&SYSTEM
  ibrav = 0, nat = 5, ntyp = 4
/
ATOMIC_SPECIES
O 16.00 O.upf
Mo 95.94 Mo.upf
S 32.06 S.upf
Br 79.90 Br.upf
CELL_PARAMETERS angstrom
5.1394 0.0000 0.0000
0.0000 4.5579 0.0000
0.0000 0.0000 5.1394
ATOMIC_POSITIONS angstrom
O 2.5697 2.2790 2.5697
Mo 0.0000 0.0000 0.0000
S 0.0000 2.2790 0.0000
Br 0.0000 0.0000 2.5697
Br 2.5697 0.0000 0.0000